VASP calculation (PBE) on a relaxed structure of Tb3S4.

abc: 14.380 3.967 6.930
angles: 90.00 116.28 90.00
Fractional coordinates of all 14 atoms:
Tb1 0.000 0.000 0.000
Tb2 0.227 0.500 0.720
Tb3 0.273 0.000 0.280
Tb4 0.500 0.500 0.000
Tb5 0.727 0.000 0.720
Tb6 0.773 0.500 0.280
S1 0.125 0.000 0.437
S2 0.139 0.500 0.005
S3 0.361 0.000 0.995
S4 0.375 0.500 0.563
S5 0.625 0.500 0.437
S6 0.639 0.000 0.005
S7 0.861 0.500 0.995
S8 0.875 0.000 0.563

Computed properties:
density = 5.67 g cm⁻³
symmetry = C2/m (12)
V = 354.5 Å³/cell
formation energy without anion corrections = -2.020 eV per atom
total moment = 0.00 μB/f.u.

=====

VASP calculation (PBE) on a relaxed structure of TcRuSe2.

abc: 3.049 3.049 29.080
angles: 90.00 90.00 120.00
Fractional coordinates of all 12 atoms:
Tc1 0.000 0.000 0.000
Tc2 0.333 0.667 0.667
Tc3 0.667 0.333 0.333
Ru1 0.000 0.000 0.746
Ru2 0.333 0.667 0.413
Ru3 0.667 0.333 0.080
Se1 0.000 0.000 0.275
Se2 0.000 0.000 0.471
Se3 0.333 0.667 0.138
Se4 0.333 0.667 0.941
Se5 0.667 0.333 0.608
Se6 0.667 0.333 0.804

Computed properties:
density = 7.59 g cm⁻³
symmetry = R3m (160)
relative energy among the computed polymorphs = 96 meV/atom
V = 234.2 Å³/cell
formation energy without anion corrections = 0.019 eV per atom
total moment = 0.00 μB/f.u.

=====

VASP calculation (PBE) on a relaxed structure of GaPb2I.

abc: 3.714 3.714 8.739
angles: 90.00 90.00 90.00
Fractional coordinates of all 4 atoms:
Ga1 0.000 0.000 0.000
Pb1 0.500 0.500 0.220
Pb2 0.500 0.500 0.780
I1 0.000 0.000 0.500

Computed properties:
density = 8.42 g cm⁻³
symmetry = P4/mmm (123)
relative energy among the computed polymorphs = 10 meV/atom
V = 120.6 Å³/cell
formation energy without anion corrections = -0.007 eV per atom
total moment = 0.00 μB/f.u.

=====

VASP calculation (PBE) on a relaxed structure of Zr2InBi.

abc: 6.097 6.097 15.212
angles: 90.00 90.00 90.00
Fractional coordinates of all 16 atoms:
Zr1 0.233 0.250 0.125
Zr2 0.250 0.733 0.375
Zr3 0.250 0.767 0.875
Zr4 0.267 0.250 0.625
Zr5 0.733 0.750 0.625
Zr6 0.750 0.233 0.875
Zr7 0.750 0.267 0.375
Zr8 0.767 0.750 0.125
In1 0.000 0.000 0.000
In2 0.000 0.500 0.250
In3 0.500 0.000 0.750
In4 0.500 0.500 0.500
Bi1 0.000 0.000 0.500
Bi2 0.000 0.500 0.750
Bi3 0.500 0.000 0.250
Bi4 0.500 0.500 0.000

Computed properties:
density = 5.95 g cm⁻³
symmetry = I-42d (122)
relative energy among the computed polymorphs = 939 meV/atom
V = 565.4 Å³/cell
total moment = 0.00 μB/f.u.